HgIrO3 (GGA-PBE, relaxed); magnetization = 0.165 μB/atom; SG = Pnma (62); final energy = -103.253 eV/cell; calculated volume = 11.921 Å³ per atom
1.0
5.4849 0.0000 0.0000
0.0000 7.8605 0.0000
0.0000 0.0000 5.5299
Hg Ir O
4 4 12
direct
0.0266 0.2500 0.0024
0.4734 0.7500 0.5024
0.5266 0.2500 0.4976
0.9734 0.7500 0.9976
0.0000 0.0000 0.5000
0.0000 0.5000 0.5000
0.5000 0.0000 0.0000
0.5000 0.5000 0.0000
0.0423 0.7500 0.3988
0.2084 0.5568 0.7904
0.2084 0.9432 0.7904
0.2916 0.0568 0.2904
0.2916 0.4432 0.2904
0.4577 0.2500 0.8988
0.5423 0.7500 0.1012
0.7084 0.5568 0.7096
0.7084 0.9432 0.7096
0.7916 0.0568 0.2096
0.7916 0.4432 0.2096
0.9577 0.2500 0.6012

***

NaNdHgSe3 (GGA-PBE, relaxed); magnetization = 0.000 μB/atom; SG = Pnma (62); calculated volume = 29.088 Å³ per atom; relative energy among the computed polymorphs = 0.007 eV/atom
1.0
14.0833 0.0000 0.0000
0.0000 4.2717 0.0000
0.0000 0.0000 11.6043
Na Nd Hg Se
4 4 4 12
direct
0.2415 0.2500 0.0918
0.2585 0.7500 0.5918
0.7415 0.2500 0.4082
0.7585 0.7500 0.9082
0.0216 0.2500 0.3436
0.4784 0.7500 0.8436
0.5216 0.2500 0.1564
0.9784 0.7500 0.6564
0.0070 0.7500 0.1043
0.4930 0.2500 0.6043
0.5070 0.7500 0.3957
0.9930 0.2500 0.8957
0.1069 0.2500 0.5718
0.1099 0.7500 0.8815
0.1504 0.7500 0.2525
0.3496 0.2500 0.7525
0.3901 0.2500 0.3815
0.3931 0.7500 0.0718
0.6069 0.2500 0.9282
0.6099 0.7500 0.6185
0.6504 0.7500 0.2475
0.8496 0.2500 0.7475
0.8901 0.2500 0.1185
0.8931 0.7500 0.4282

***

RbZn2HSe2O7 (GGA-PBE, relaxed); SG = P-1 (2); final energy = -128.525 eV/cell; calculated volume = 14.563 Å³ per atom
1.0
4.8166 0.0000 0.0000
2.2535 6.8680 0.0000
2.2978 0.6504 11.4464
Rb Zn H Se O
2 4 2 4 14
direct
0.1755 0.3761 0.2922
0.8245 0.6239 0.7078
0.1609 0.6999 0.9238
0.1631 0.9896 0.6414
0.8369 0.0104 0.3586
0.8391 0.3001 0.0762
0.0615 0.0307 0.8486
0.9385 0.9693 0.1514
0.4473 0.7295 0.4213
0.4565 0.2446 0.9012
0.5435 0.7554 0.0988
0.5527 0.2705 0.5787
0.1811 0.9128 0.8065
0.1883 0.7692 0.0790
0.1928 0.2567 0.6017
0.2657 0.9643 0.3768
0.2717 0.2960 0.0409
0.3495 0.7340 0.5720
0.3500 0.4707 0.8281
0.6500 0.5293 0.1719
0.6505 0.2660 0.4280
0.7283 0.7040 0.9591
0.7343 0.0357 0.6232
0.8072 0.7433 0.3983
0.8117 0.2308 0.9210
0.8189 0.0872 0.1935

***

Ba2InOsS6 (GGA-PBE, relaxed); magnetization = 0.274 μB/atom; SG = R3 (146); calculated volume = 24.107 Å³ per atom; relative energy among the computed polymorphs = 0.006 eV/atom
1.0
3.5956 2.0759 5.3828
-3.5956 2.0759 5.3828
0.0000 -4.1519 5.3828
Ba In Os S
2 1 1 6
direct
0.0000 0.0000 0.0000
0.4995 0.4995 0.4995
0.7495 0.7495 0.7495
0.2494 0.2494 0.2494
0.0243 0.4183 0.5564
0.0812 0.9432 0.4755
0.4183 0.5564 0.0243
0.4755 0.0812 0.9432
0.5564 0.0243 0.4183
0.9432 0.4755 0.0812

***

BeZnSO (GGA-PBE, relaxed); SG = P4/nmm (129); calculated volume = 14.540 Å³ per atom; relative energy among the computed polymorphs = 0.947 eV/atom
1.0
3.6246 0.0000 0.0000
0.0000 3.6246 0.0000
0.0000 0.0000 8.8538
Be Zn S O
2 2 2 2
direct
0.2500 0.2500 0.0938
0.7500 0.7500 0.9062
0.2500 0.2500 0.5829
0.7500 0.7500 0.4171
0.2500 0.2500 0.8633
0.7500 0.7500 0.1367
0.2500 0.7500 0.5000
0.7500 0.2500 0.5000

***

PrTmNO (GGA-PBE, relaxed); magnetization = 0.065 μB/atom; SG = Pmc2_1 (26); calculated volume = 17.853 Å³ per atom; relative energy among the computed polymorphs = 0.060 eV/atom
1.0
4.0061 0.0000 0.0000
0.0000 7.0798 0.0000
0.0000 0.0000 5.0357
Pr Tm N O
2 2 2 2
direct
0.0000 0.1560 0.0000
0.0000 0.8440 0.5000
0.5000 0.3314 0.5041
0.5000 0.6686 0.0041
0.0000 0.1911 0.5004
0.0000 0.8089 0.0004
0.5000 0.3590 0.9910
0.5000 0.6410 0.4910

***

Er2ZnSb2 (GGA-PBE, relaxed); magnetization = 0.000 μB/atom; SG = Cmc2_1 (36); final energy = -44.020 eV/cell; calculated volume = 25.378 Å³ per atom
1.0
2.1670 -9.1168 0.0000
2.1670 9.1168 0.0000
0.0000 0.0000 6.4230
Er Zn Sb
4 2 4
direct
0.0082 0.9918 0.5000
0.2040 0.7960 0.2061
0.7960 0.2040 0.7061
0.9918 0.0082 0.0000
0.4110 0.5890 0.2953
0.5890 0.4110 0.7953
0.1738 0.8262 0.7043
0.4110 0.5890 0.7356
0.5890 0.4110 0.2356
0.8262 0.1738 0.2043

***

Er2CoCuSi4 (GGA-PBE, relaxed); magnetization = 0.000 μB/atom; SG = Amm2 (38); final energy = -94.275 eV/cell; calculated volume = 16.231 Å³ per atom
1.0
3.9580 0.0000 0.0000
0.0000 3.9701 0.0000
0.0000 0.0000 16.5264
Er Co Cu Si
4 2 2 8
direct
0.0000 0.0000 0.0000
0.0000 0.5000 0.5000
0.5000 0.0000 0.2113
0.5000 0.5000 0.7113
0.5000 0.0000 0.4230
0.5000 0.5000 0.9230
0.0000 0.0000 0.7738
0.0000 0.5000 0.2738
0.0000 0.0000 0.3572
0.0000 0.0000 0.6367
0.0000 0.5000 0.1367
0.0000 0.5000 0.8572
0.5000 0.0000 0.5578
0.5000 0.0000 0.8571
0.5000 0.5000 0.0578
0.5000 0.5000 0.3571

***

Li2HfMgIn2Pt2 (GGA-PBE, relaxed); magnetization = 0.000 μB/atom; SG = P-4m2 (115); final energy = -38.177 eV/cell; calculated volume = 17.321 Å³ per atom
1.0
4.6120 0.0000 0.0000
0.0000 4.6120 0.0000
0.0000 0.0000 6.5146
Li Hf Mg In Pt
2 1 1 2 2
direct
0.0000 0.5000 0.2321
0.5000 0.0000 0.7679
0.0000 0.0000 0.5000
0.5000 0.5000 0.0000
0.0000 0.0000 0.0000
0.5000 0.5000 0.5000
0.0000 0.5000 0.7372
0.5000 0.0000 0.2628

***

YHoCo2B2C2 (GGA-PBE, relaxed); magnetization = 0.127 μB/atom; SG = P4mm (99); final energy = -60.398 eV/cell; calculated volume = 12.009 Å³ per atom
1.0
3.5444 0.0000 0.0000
0.0000 3.5444 0.0000
0.0000 0.0000 7.6473
Y Ho Co B C
1 1 2 2 2
direct
0.0000 0.0000 0.0000
0.5000 0.5000 0.6678
0.0000 0.5000 0.3343
0.5000 0.0000 0.3343
0.0000 0.0000 0.4834
0.5000 0.5000 0.1837
0.0000 0.0000 0.6806
0.5000 0.5000 0.9863

***

Er6Ge2Ir (GGA-PBE, relaxed); magnetization = 0.014 μB/atom; SG = P-62m (189); final energy = -51.711 eV/cell; calculated volume = 24.568 Å³ per atom
1.0
7.7552 0.0000 0.0000
-3.8776 6.7162 0.0000
0.0000 0.0000 4.2452
Er Ge Ir
6 2 1
direct
0.0000 0.4029 0.0000
0.0000 0.7491 0.5000
0.2509 0.2509 0.5000
0.4029 0.0000 0.0000
0.5971 0.5971 0.0000
0.7491 0.0000 0.5000
0.3333 0.6667 0.5000
0.6667 0.3333 0.5000
0.0000 0.0000 0.0000

***

LuNbNO (GGA-PBE, relaxed); magnetization = 0.002 μB/atom; SG = P4/nmm (129); calculated volume = 11.904 Å³ per atom; relative energy among the computed polymorphs = 0.094 eV/atom
1.0
4.6239 0.0000 0.0000
0.0000 4.6239 0.0000
0.0000 0.0000 4.4541
Lu Nb N O
2 2 2 2
direct
0.2500 0.7500 0.0000
0.7500 0.2500 0.0000
0.2500 0.2500 0.4993
0.7500 0.7500 0.5007
0.2500 0.2500 0.9987
0.7500 0.7500 0.0013
0.2500 0.7500 0.5000
0.7500 0.2500 0.5000

***

LiTmTeO (GGA-PBE, relaxed); magnetization = 0.000 μB/atom; SG = P2_1/c (14); calculated volume = 19.619 Å³ per atom; relative energy among the computed polymorphs = 0.090 eV/atom
1.0
6.7724 0.0000 0.0000
0.0000 7.3384 0.0000
-1.1484 0.0000 6.3162
Li Tm Te O
4 4 4 4
direct
0.1310 0.2151 0.4548
0.1310 0.2849 0.9548
0.8690 0.7151 0.0452
0.8690 0.7849 0.5452
0.4593 0.6211 0.7761
0.4593 0.8789 0.2761
0.5407 0.1211 0.7239
0.5407 0.3789 0.2239
0.1744 0.5734 0.3293
0.1744 0.9266 0.8293
0.8256 0.0734 0.1707
0.8256 0.4266 0.6707
0.4017 0.1553 0.3957
0.4017 0.3447 0.8957
0.5983 0.6553 0.1043
0.5983 0.8447 0.6043

***

NdDy2Mg3Ir3 (GGA-PBE, relaxed); magnetization = 0.001 μB/atom; SG = Amm2 (38); final energy = -51.070 eV/cell; calculated volume = 20.963 Å³ per atom
1.0
4.0799 0.0000 0.0000
0.0000 6.3385 3.6478
0.0000 -6.3385 3.6478
Nd Dy Mg Ir
1 2 3 3
direct
0.0000 0.0000 0.0000
0.0000 0.1795 0.5879
0.0000 0.5879 0.1795
0.5000 0.3455 0.3455
0.5000 0.5851 0.8304
0.5000 0.8304 0.5851
0.0000 0.5827 0.5827
0.5000 0.2592 0.9183
0.5000 0.9183 0.2592

***

BaSnIr (GGA-PBE, relaxed); magnetization = 0.006 μB/atom; SG = F-43m (216); final energy = -48.027 eV/cell; calculated volume = 32.595 Å³ per atom
1.0
7.3133 0.0000 0.0000
0.0000 7.3133 0.0000
0.0000 0.0000 7.3133
Ba Sn Ir
4 4 4
direct
0.0000 0.0000 0.0000
0.0000 0.5000 0.5000
0.5000 0.0000 0.5000
0.5000 0.5000 0.0000
0.2500 0.2500 0.2500
0.2500 0.7500 0.7500
0.7500 0.2500 0.7500
0.7500 0.7500 0.2500
0.2500 0.2500 0.7500
0.2500 0.7500 0.2500
0.7500 0.2500 0.2500
0.7500 0.7500 0.7500

***

AgBiPdS3 (GGA-PBE, relaxed); SG = P2_12_12_1 (19); final energy = -104.360 eV/cell; calculated volume = 22.977 Å³ per atom
1.0
5.0287 0.0000 0.0000
0.0000 8.0876 0.0000
0.0000 0.0000 13.5592
Ag Bi Pd S
4 4 4 12
direct
0.0334 0.1070 0.4421
0.4666 0.8930 0.9421
0.5334 0.3930 0.5579
0.9666 0.6070 0.0579
0.0443 0.1295 0.1286
0.4557 0.8705 0.6286
0.5443 0.3705 0.8714
0.9557 0.6295 0.3714
0.0146 0.6319 0.7469
0.4854 0.3681 0.2469
0.5147 0.8681 0.2531
0.9854 0.1319 0.7531
0.1853 0.1452 0.9122
0.2241 0.3775 0.7112
0.2250 0.6241 0.9013
0.2750 0.3759 0.4013
0.2759 0.6225 0.2112
0.3147 0.8548 0.4122
0.6853 0.3548 0.0878
0.7241 0.1225 0.2888
0.7250 0.8759 0.0987
0.7750 0.1241 0.5987
0.7759 0.8775 0.7888
0.8147 0.6452 0.5878

***

Tm4I5Br3 (GGA-PBE, relaxed); magnetization = 0.001 μB/atom; SG = P3m1 (156); final energy = -45.770 eV/cell; calculated volume = 34.480 Å³ per atom
1.0
3.9692 0.0000 0.0000
-1.9846 3.4375 0.0000
0.0000 0.0000 30.3254
Tm I Br
4 5 3
direct
0.0000 0.0000 0.0000
0.0000 0.0000 0.2485
0.3333 0.6667 0.5011
0.3333 0.6667 0.7551
0.0000 0.0000 0.4358
0.0000 0.0000 0.6905
0.3333 0.6667 0.1830
0.6667 0.3333 0.3137
0.6667 0.3333 0.5665
0.3333 0.6667 0.9436
0.6667 0.3333 0.0562
0.6667 0.3333 0.8121

***

KAgSnTeSe2 (GGA-PBE, relaxed); SG = Cmcm (63); final energy = -41.268 eV/cell; calculated volume = 30.092 Å³ per atom
1.0
1.9940 -7.8887 0.0000
1.9940 7.8887 0.0000
0.0000 0.0000 11.4780
K Ag Sn Te Se
2 2 2 2 4
direct
0.2407 0.7593 0.7500
0.7593 0.2407 0.2500
0.4422 0.5578 0.2500
0.5578 0.4422 0.7500
0.0000 0.0000 0.0000
0.0000 0.0000 0.5000
0.0701 0.9299 0.2500
0.9299 0.0701 0.7500
0.3771 0.6229 0.0410
0.3771 0.6229 0.4590
0.6229 0.3771 0.5410
0.6229 0.3771 0.9590

***

Na2FeH6Au (GGA-PBE, relaxed); magnetization = 0.130 μB/atom; SG = Fm-3m (225); final energy = -34.291 eV/cell; calculated volume = 9.335 Å³ per atom
1.0
0.0000 3.6005 3.6005
3.6005 0.0000 3.6005
3.6005 3.6005 0.0000
Na Fe H Au
2 1 6 1
direct
0.2500 0.2500 0.2500
0.7500 0.7500 0.7500
0.0000 0.0000 0.0000
0.2309 0.2309 0.7691
0.2309 0.7691 0.2309
0.2309 0.7691 0.7691
0.7691 0.2309 0.2309
0.7691 0.2309 0.7691
0.7691 0.7691 0.2309
0.5000 0.5000 0.5000

***

GdHoBr2O (GGA-PBE, relaxed); magnetization = 0.000 μB/atom; SG = P3m1 (156); final energy = -28.004 eV/cell; calculated volume = 23.750 Å³ per atom
1.0
3.6666 0.0000 0.0000
-1.8333 3.1753 0.0000
0.0000 0.0000 10.1996
Gd Ho Br O
1 1 2 1
direct
0.0000 0.0000 0.0000
0.3333 0.6667 0.2439
0.0000 0.0000 0.4314
0.3333 0.6667 0.8062
0.6667 0.3333 0.1364

***

PrDyNb (GGA-PBE, relaxed); magnetization = 0.679 μB/atom; SG = F-43m (216); energy relative to the elements = 0.8116 eV/atom; calculated volume = 31.725 Å³ per atom; relative energy among the computed polymorphs = 0.000 eV/atom
1.0
7.2476 0.0000 0.0000
0.0000 7.2476 0.0000
0.0000 0.0000 7.2476
Pr Dy Nb
4 4 4
direct
0.0000 0.0000 0.0000
0.0000 0.5000 0.5000
0.5000 0.0000 0.5000
0.5000 0.5000 0.0000
0.0000 0.0000 0.5000
0.0000 0.5000 0.0000
0.5000 0.0000 0.0000
0.5000 0.5000 0.5000
0.2500 0.2500 0.7500
0.2500 0.7500 0.2500
0.7500 0.2500 0.2500
0.7500 0.7500 0.7500